Record 1
# BeCuPb2, optimized geometry, DFT GGA-PBE
# D(E_F) (states/eV per cell): 1.1
# Calculated total energy (eV/atom): -3.263
# Energy of formation (eV/f.u.): 2.19
data_BeCuPb2
_chemical_formula_sum 'Be1 Cu1 Pb2'
_symmetry_space_group_name_H-M 'P 1 2/m 1'
_symmetry_Int_Tables_number 10
_cell_length_a 3.3810
_cell_length_b 3.4987
_cell_length_c 7.2488
_cell_angle_alpha 90.00
_cell_angle_beta 100.06
_cell_angle_gamma 90.00
loop_
_symmetry_equiv_pos_as_xyz
'x,y,z'
'-x,-y,-z'
'-x,y,-z'
'x,-y,z'
loop_
_atom_site_label
_atom_site_type_symbol
_atom_site_fract_x
_atom_site_fract_y
_atom_site_fract_z
Be1 Be 0.0000 0.0000 0.0000
Cu1 Cu 0.0000 0.0000 0.5000
Pb1 Pb 0.4631 0.5000 0.2482


Record 2
# Tm6Pt5Au, optimized geometry, DFT GGA-PBE
# D(E_F) (states/eV per cell): 14.1
# Calculated total energy (eV/atom): -6.243
# Energy of formation (eV/f.u.): -14.60
data_Tm6Pt5Au
_chemical_formula_sum 'Tm12 Pt10 Au2'
_symmetry_space_group_name_H-M 'I m m m'
_symmetry_Int_Tables_number 71
_symmetry_space_group_name_Hall '-I 2 2'
_cell_length_a 4.9010
_cell_length_b 6.9412
_cell_length_c 14.6779
_cell_angle_alpha 90.00
_cell_angle_beta 90.00
_cell_angle_gamma 90.00
loop_
_atom_site_label
_atom_site_type_symbol
_atom_site_fract_x
_atom_site_fract_y
_atom_site_fract_z
Tm1 Tm 0.0000 0.2439 0.0000
Tm2 Tm 0.0000 0.2531 0.3313
Pt1 Pt 0.0000 0.0000 0.1682
Pt2 Pt 0.0000 0.5000 0.1646
Pt3 Pt 0.0000 0.5000 0.5000
Au1 Au 0.0000 0.0000 0.5000


Record 3
# Ce2Pr3Ge4, optimized geometry, DFT GGA-PBE
# D(E_F) (states/eV per cell): 26.2
# Calculated total energy (eV/atom): -5.724
# Energy of formation (eV/f.u.): -6.84
data_Ce2Pr3Ge4
_chemical_formula_sum 'Ce4 Pr6 Ge8'
_symmetry_space_group_name_H-M 'P 1 21/c 1'
_symmetry_Int_Tables_number 14
_cell_length_a 8.1505
_cell_length_b 8.0325
_cell_length_c 7.9434
_cell_angle_alpha 90.00
_cell_angle_beta 112.53
_cell_angle_gamma 90.00
loop_
_symmetry_equiv_pos_as_xyz
'x,y,z'
'-x,-y,-z'
'-x,y+1/2,-z+1/2'
'x,-y+1/2,z+1/2'
loop_
_atom_site_label
_atom_site_type_symbol
_atom_site_fract_x
_atom_site_fract_y
_atom_site_fract_z
Ce1 Ce 0.2323 0.1639 0.2176
Pr1 Pr 0.1998 0.6795 0.0657
Pr2 Pr 0.5000 0.0000 0.0000
Ge1 Ge 0.0847 0.0383 0.8230
Ge2 Ge 0.4990 0.6235 0.8801


Record 4
# Cd3SnSe4, optimized geometry, DFT GGA-PBE
# Calculated total energy (eV/atom): -3.086
# Raw formation energy (meV per atom): -501
data_Cd3SnSe4
_chemical_formula_sum 'Cd6 Sn2 Se8'
_symmetry_space_group_name_H-M 'I -4 2 m'
_symmetry_Int_Tables_number 121
_symmetry_space_group_name_Hall 'I -4 2'
_cell_length_a 6.3545
_cell_length_b 6.3545
_cell_length_c 12.6540
_cell_angle_alpha 90.00
_cell_angle_beta 90.00
_cell_angle_gamma 90.00
loop_
_atom_site_label
_atom_site_type_symbol
_atom_site_fract_x
_atom_site_fract_y
_atom_site_fract_z
Cd1 Cd 0.0000 0.0000 0.0000
Cd2 Cd 0.0000 0.5000 0.2500
Sn1 Sn 0.0000 0.0000 0.5000
Se1 Se 0.2354 0.2354 0.8686


Record 5
# KSe2NCl, optimized geometry, DFT GGA-PBE
# D(E_F) (states/eV per cell): 12.5
# Calculated total energy (eV/atom): -1.830
# Raw formation energy (meV per atom): 1818
data_KSe2NCl
_chemical_formula_sum 'K1 Se2 N1 Cl1'
_symmetry_space_group_name_H-M 'P 4/m m m'
_symmetry_Int_Tables_number 123
_symmetry_space_group_name_Hall '-P 4 2'
_cell_length_a 6.2524
_cell_length_b 6.2524
_cell_length_c 4.6982
_cell_angle_alpha 90.00
_cell_angle_beta 90.00
_cell_angle_gamma 90.00
loop_
_atom_site_label
_atom_site_type_symbol
_atom_site_fract_x
_atom_site_fract_y
_atom_site_fract_z
K1 K 0.0000 0.0000 0.0000
Se1 Se 0.0000 0.5000 0.0000
N1 N 0.0000 0.0000 0.5000
Cl1 Cl 0.5000 0.5000 0.5000


Record 6
# CeNb2Si2, optimized geometry, DFT GGA-PBE
# D(E_F) (states/eV per cell): 12.9
# Calculated total energy (eV/atom): -8.018
# Raw formation energy (meV per atom): -634
data_CeNb2Si2
_chemical_formula_sum 'Ce2 Nb4 Si4'
_symmetry_space_group_name_H-M 'I 4/m m m'
_symmetry_Int_Tables_number 139
_symmetry_space_group_name_Hall '-I 4 2'
_cell_length_a 4.0650
_cell_length_b 4.0650
_cell_length_c 11.7226
_cell_angle_alpha 90.00
_cell_angle_beta 90.00
_cell_angle_gamma 90.00
loop_
_atom_site_label
_atom_site_type_symbol
_atom_site_fract_x
_atom_site_fract_y
_atom_site_fract_z
Ce1 Ce 0.0000 0.0000 0.0000
Nb1 Nb 0.0000 0.5000 0.2500
Si1 Si 0.0000 0.0000 0.3976


Record 7
# PuScSn2, optimized geometry, DFT GGA-PBE
# D(E_F) (states/eV per cell): 9.7
# Calculated total energy (eV/atom): -7.613
# Energy of formation (eV/f.u.): -1.78
data_PuScSn2
_chemical_formula_sum 'Pu1 Sc1 Sn2'
_symmetry_space_group_name_H-M 'P 4/m m m'
_symmetry_Int_Tables_number 123
_symmetry_space_group_name_Hall '-P 4 2'
_cell_length_a 4.7006
_cell_length_b 4.7006
_cell_length_c 4.4506
_cell_angle_alpha 90.00
_cell_angle_beta 90.00
_cell_angle_gamma 90.00
loop_
_atom_site_label
_atom_site_type_symbol
_atom_site_fract_x
_atom_site_fract_y
_atom_site_fract_z
Pu1 Pu 0.0000 0.0000 0.0000
Sc1 Sc 0.5000 0.5000 0.0000
Sn1 Sn 0.0000 0.5000 0.5000


Record 8
# NdSiIr, optimized geometry, DFT GGA-PBE
# D(E_F) (states/eV per cell): 3.7
# Calculated total energy (eV/atom): -7.295
# Raw formation energy (meV per atom): -945
data_NdSiIr
_chemical_formula_sum 'Nd4 Si4 Ir4'
_symmetry_space_group_name_H-M 'P 21 3'
_symmetry_Int_Tables_number 198
_symmetry_space_group_name_Hall 'P 2ac 2ab 3'
_cell_length_a 6.3579
_cell_length_b 6.3579
_cell_length_c 6.3579
_cell_angle_alpha 90.00
_cell_angle_beta 90.00
_cell_angle_gamma 90.00
loop_
_atom_site_label
_atom_site_type_symbol
_atom_site_fract_x
_atom_site_fract_y
_atom_site_fract_z
Nd1 Nd 0.1199 0.1199 0.1199
Si1 Si 0.1653 0.3347 0.6653
Ir1 Ir 0.0684 0.5684 0.9316


Record 9
# CaPrSe2, optimized geometry, DFT GGA-PBE
# D(E_F) (states/eV per cell): 2.6
# Calculated total energy (eV/atom): -5.290
# Raw formation energy (meV per atom): -1853
data_CaPrSe2
_chemical_formula_sum 'Ca2 Pr2 Se4'
_symmetry_space_group_name_H-M 'P 63/m m c'
_symmetry_Int_Tables_number 194
_symmetry_space_group_name_Hall '-P 6c 2c'
_cell_length_a 4.1607
_cell_length_b 4.1607
_cell_length_c 14.4874
_cell_angle_alpha 90.00
_cell_angle_beta 90.00
_cell_angle_gamma 120.00
loop_
_atom_site_label
_atom_site_type_symbol
_atom_site_fract_x
_atom_site_fract_y
_atom_site_fract_z
Ca1 Ca 0.3333 0.6667 0.2500
Pr1 Pr 0.0000 0.0000 0.0000
Se1 Se 0.3333 0.6667 0.6263


Record 10
# PrSF, optimized geometry, DFT GGA-PBE
# D(E_F) (states/eV per cell): 0.0
# Calculated total energy (eV/atom): -6.405
# Raw formation energy (meV per atom): -2812
data_PrSF
_chemical_formula_sum 'Pr4 S4 F4'
_symmetry_space_group_name_H-M 'F -4 3 m'
_symmetry_Int_Tables_number 216
_symmetry_space_group_name_Hall 'F -4 2 3'
_cell_length_a 6.4196
_cell_length_b 6.4196
_cell_length_c 6.4196
_cell_angle_alpha 90.00
_cell_angle_beta 90.00
_cell_angle_gamma 90.00
loop_
_atom_site_label
_atom_site_type_symbol
_atom_site_fract_x
_atom_site_fract_y
_atom_site_fract_z
Pr1 Pr 0.0000 0.0000 0.0000
S1 S 0.2500 0.2500 0.7500
F1 F 0.2500 0.2500 0.2500


Record 11
# Pm7AgIr4, optimized geometry, DFT GGA-PBE
# D(E_F) (states/eV per cell): 18.2
# Calculated total energy (eV/atom): -6.357
# Energy of formation (eV/f.u.): -4.73
data_Pm7AgIr4
_chemical_formula_sum 'Pm14 Ag2 Ir8'
_symmetry_space_group_name_H-M 'C 1 2/m 1'
_symmetry_Int_Tables_number 12
_cell_length_a 14.0279
_cell_length_b 5.4464
_cell_length_c 10.0814
_cell_angle_alpha 90.00
_cell_angle_beta 126.09
_cell_angle_gamma 90.00
loop_
_symmetry_equiv_pos_as_xyz
'x,y,z'
'-x,-y,-z'
'-x,y,-z'
'x,-y,z'
'x+1/2,y+1/2,z'
'-x+1/2,-y+1/2,-z'
'-x+1/2,y+1/2,-z'
'x+1/2,-y+1/2,z'
loop_
_atom_site_label
_atom_site_type_symbol
_atom_site_fract_x
_atom_site_fract_y
_atom_site_fract_z
Pm1 Pm 0.0000 0.0000 0.0000
Pm2 Pm 0.0797 0.5000 0.3557
Pm3 Pm 0.1691 0.0000 0.6158
Pm4 Pm 0.2096 0.5000 0.8736
Ag1 Ag 0.0000 0.5000 0.0000
Ir1 Ir 0.0690 0.0000 0.7815
Ir2 Ir 0.2065 0.0000 0.3383


Record 12
# Sm6TmTl4, optimized geometry, DFT GGA-PBE
# D(E_F) (states/eV per cell): 20.0
# Calculated total energy (eV/atom): -3.998
# Energy of formation (eV/f.u.): -1.73
data_Sm6TmTl4
_chemical_formula_sum 'Sm12 Tm2 Tl8'
_symmetry_space_group_name_H-M 'I -4 2 m'
_symmetry_Int_Tables_number 121
_symmetry_space_group_name_Hall 'I -4 2'
_cell_length_a 6.5271
_cell_length_b 6.5271
_cell_length_c 16.7871
_cell_angle_alpha 90.00
_cell_angle_beta 90.00
_cell_angle_gamma 90.00
loop_
_atom_site_label
_atom_site_type_symbol
_atom_site_fract_x
_atom_site_fract_y
_atom_site_fract_z
Sm1 Sm 0.0000 0.5000 0.0000
Sm2 Sm 0.2370 0.2370 0.3211
Tm1 Tm 0.0000 0.0000 0.0000
Tl1 Tl 0.2423 0.2423 0.1337


no.,total magnetic moment (μB/f.u.)
1,0.00
2,0.00
3,1.21
4,0.00
5,4.48
6,0.56
7,6.47
8,0.00
9,0.00
10,0.00
11,0.00
12,1.41